Entry from Alexandria: crystalline Er5ScTl6 at its relaxed geometry (PBE-GGA).

a b c (Å): 5.3355 7.3698 8.4307
angles (deg): 90.00 71.55 90.00
Last column: nearest neighbours and their distance in Å.
Sites, in units of the cell vectors:
Sc 0.0000 0.0000 0.0000  8 Tl 3.19-3.23
Tl 0.8360 0.7540 0.3281  1 Sc 3.19, 7 Er 3.22-3.27
Tl 0.8360 0.2460 0.3281  1 Sc 3.19, 7 Er 3.22-3.27
Tl 0.5000 0.2460 0.0000  6 Er 3.21-3.28, 2 Sc 3.23
Tl 0.5000 0.7540 0.0000  6 Er 3.21-3.28, 2 Sc 3.23
Tl 0.1640 0.7540 0.6719  1 Sc 3.19, 7 Er 3.22-3.27
Tl 0.1640 0.2460 0.6719  1 Sc 3.19, 7 Er 3.22-3.27
Er 0.6685 0.5000 0.6630  8 Tl 3.26-3.28
Er 0.3341 0.0000 0.3318  8 Tl 3.21-3.27
Er 0.0000 0.5000 0.0000  8 Tl 3.22-3.26
Er 0.6659 0.0000 0.6682  8 Tl 3.21-3.27
Er 0.3315 0.5000 0.3370  8 Tl 3.26-3.28

Calculated values
- DOS(E_F): 8.905 states/eV/cell
- Energy: -3.909 eV/atom

=====

Entry from Alexandria: crystalline ZrMn3 at its relaxed geometry (PBE-GGA).

a b c (Å): 4.8630 4.8630 8.0802
angles (deg): 90.00 90.00 120.00
Last column: nearest neighbours and their distance in Å.
Sites, in units of the cell vectors:
Zr 0.6667 0.3333 0.5549  15 Mn 2.79-2.96, 1 Zr 3.08
Zr 0.6667 0.3333 0.9355  12 Mn 2.85-2.92, 4 Zr 3.02-3.08
Zr 0.0000 0.0000 0.0741  13 Mn 2.83-2.98, 3 Zr 3.02
Mn 0.3333 0.6667 0.4981  6 Mn 2.44-2.47
Mn 0.3333 0.6667 0.9989  6 Mn 2.51
Mn 0.9925 0.4963 0.2540  6 Mn 2.38-2.51
Mn 0.5037 0.4963 0.2540  6 Mn 2.38-2.51
Mn 0.5037 0.0075 0.2540  6 Mn 2.38-2.51
Mn 0.6784 0.8392 0.7461  6 Mn 2.35-2.52
Mn 0.1608 0.8392 0.7461  6 Mn 2.35-2.52
Mn 0.1608 0.3216 0.7461  6 Mn 2.35-2.52
Mn 0.0000 0.0000 0.4382  12 Mn 2.83-2.85, 4 Zr 2.94-2.96

Calculated values
- DOS(E_F): 13.204 states/eV/cell
- Energy: -9.111 eV/atom

=====

Entry from Alexandria: crystalline BaLaSc at its relaxed geometry (PBE-GGA).

a b c (Å): 6.3869 8.5989 7.0357
angles (deg): 69.79 62.30 42.13
Last column: nearest neighbours and their distance in Å.
Sites, in units of the cell vectors:
Sc 0.3551 0.5374 0.2173  2 Sc 3.36, 4 La 3.46-3.52
Sc 0.9292 0.0377 0.4237  2 Sc 3.36, 4 La 3.46-3.52
Ba 0.0867 0.5381 0.8224  4 La 3.73-3.88, 4 Sc 3.78-3.91, 2 Ba 3.82
Ba 0.1975 0.0371 0.8186  4 La 3.73-3.88, 4 Sc 3.78-3.91, 2 Ba 3.82
La 0.5502 0.0383 0.1971  4 Sc 3.46-3.52, 2 La 3.49, 3 Ba 3.73-3.84
La 0.7341 0.5369 0.4438  4 Sc 3.46-3.52, 2 La 3.49, 3 Ba 3.73-3.84

Calculated values
- DOS(E_F): 11.011 states/eV/cell
- Energy: -4.132 eV/atom

=====

Entry from Alexandria: crystalline Be2FeBPd at its relaxed geometry (PBE-GGA).

a b c (Å): 3.9122 3.6795 3.9122
angles (deg): 90.00 90.00 90.00
Last column: nearest neighbours and their distance in Å.
Sites, in units of the cell vectors:
Be 0.0000 0.0000 0.5000  2 Fe 1.96
Be 0.5000 0.0000 0.0000  2 Fe 1.96
B 0.0000 0.5000 0.0000  2 Fe 1.84
Fe 0.0000 0.0000 0.0000  2 B 1.84, 4 Be 1.96
Pd 0.5000 0.5000 0.5000  8 Be 2.69, 4 B 2.77

Calculated values
- DOS(E_F): 2.901 states/eV/cell
- Energy: -4.999 eV/atom

=====

Entry from Alexandria: crystalline GdLuAl at its relaxed geometry (PBE-GGA).

a b c (Å): 3.4365 3.4365 7.0482
angles (deg): 104.11 104.11 90.00
Last column: nearest neighbours and their distance in Å.
Sites, in units of the cell vectors:
Gd 0.0164 0.0164 0.0327  4 Al 3.17, 4 Gd 3.44
Lu 0.3139 0.3139 0.6277  4 Al 3.09, 4 Lu 3.44
Al 0.6698 0.6698 0.3396  4 Lu 3.09, 4 Gd 3.17, 4 Al 3.44

Calculated values
- DOS(E_F): 3.040 states/eV/cell
- Energy: -7.698 eV/atom

=====

Entry from Alexandria: crystalline TbY4PbS8 at its relaxed geometry (PBE-GGA).

a b c (Å): 8.1596 8.1596 8.1697
angles (deg): 60.04 60.04 60.00
Last column: nearest neighbours and their distance in Å.
Sites, in units of the cell vectors:
Tb 0.0019 0.0019 0.9942  6 S 2.72-2.83
Y 0.6251 0.6251 0.1248  4 S 2.66
Y 0.0019 0.4945 0.5018  6 S 2.71-2.82
Y 0.4945 0.0019 0.5018  6 S 2.71-2.82
Y 0.0019 0.0019 0.5018  6 S 2.71-2.82
Pb 0.3749 0.3749 0.8754  4 S 2.77
S 0.2369 0.7903 0.7358  2 Y 2.71, 1 Tb 2.72, 1 Pb 2.77
S 0.7903 0.2369 0.7358  2 Y 2.71, 1 Tb 2.72, 1 Pb 2.77
S 0.2369 0.2369 0.7358  2 Y 2.71, 1 Tb 2.72, 1 Pb 2.77
S 0.2364 0.2364 0.2909  3 Y 2.71, 1 Pb 2.77
S 0.7575 0.2266 0.2584  3 Y 2.66-2.82, 1 Tb 2.83
S 0.2266 0.7575 0.2584  3 Y 2.66-2.82, 1 Tb 2.83
S 0.7575 0.7575 0.2584  3 Y 2.66-2.82, 1 Tb 2.83
S 0.7579 0.7579 0.7264  4 Y 2.66-2.82

Calculated values
- E_form (uncorrected): -1.78 eV per atom
- DOS(E_F): 3.911 states/eV/cell
- Energy: -6.577 eV/atom

=====

Entry from Alexandria: crystalline Rb4Ag3AuF12 at its relaxed geometry (PBE-GGA).

a b c (Å): 7.7219 7.7219 7.7219
angles (deg): 109.47 109.47 109.47
Last column: nearest neighbours and their distance in Å.
Sites, in units of the cell vectors:
Rb 0.5000 0.5000 0.5000  12 F 3.15
Rb 0.0000 0.0000 0.5000  12 F 3.15
Rb 0.5000 0.0000 0.0000  12 F 3.15
Rb 0.0000 0.5000 0.0000  12 F 3.15
Ag 0.5000 0.0000 0.5000  6 F 2.23-2.28
Ag 0.5000 0.5000 0.0000  6 F 2.23-2.28
Ag 0.0000 0.5000 0.5000  6 F 2.23-2.28
Au 0.0000 0.0000 0.0000  6 F 2.17
F 0.2500 0.5000 0.7500  2 Ag 2.23
F 0.7562 0.0000 0.7562  1 Au 2.17, 1 Ag 2.28
F 0.2438 0.0000 0.2438  1 Au 2.17, 1 Ag 2.28
F 0.7500 0.5000 0.2500  2 Ag 2.23
F 0.7562 0.7562 0.0000  1 Au 2.17, 1 Ag 2.28
F 0.2438 0.2438 0.0000  1 Au 2.17, 1 Ag 2.28
F 0.7500 0.2500 0.5000  2 Ag 2.23
F 0.2500 0.7500 0.5000  2 Ag 2.23
F 0.5000 0.2500 0.7500  2 Ag 2.23
F 0.0000 0.7562 0.7562  1 Au 2.17, 1 Ag 2.28
F 0.5000 0.7500 0.2500  2 Ag 2.23
F 0.0000 0.2438 0.2438  1 Au 2.17, 1 Ag 2.28

Calculated values
- E_form (uncorrected): -1.83 eV per atom
- DOS(E_F): 6.703 states/eV/cell
- Energy: -3.739 eV/atom

=====

Entry from Alexandria: crystalline Sm5Ge2Pb at its relaxed geometry (PBE-GGA).

a b c (Å): 6.8837 6.8838 6.6413
angles (deg): 121.18 121.18 90.08
Last column: nearest neighbours and their distance in Å.
Sites, in units of the cell vectors:
Sm 0.7144 0.2379 0.9521  6 Sm 3.22-3.45, 2 Pb 3.26-3.39, 4 Ge 3.30-3.35
Sm 0.2073 0.2075 0.9382  6 Sm 3.21-3.45, 2 Pb 3.26-3.38, 4 Ge 3.30-3.34
Sm 0.7298 0.7300 0.9365  6 Sm 3.22-3.45, 2 Pb 3.26-3.38, 4 Ge 3.30-3.35
Sm 0.2369 0.7134 0.9502  6 Sm 3.22-3.45, 2 Pb 3.26-3.39, 4 Ge 3.30-3.34
Sm 0.7223 0.7230 0.4444  8 Sm 3.21-3.43, 4 Ge 3.43-3.45
Ge 0.2220 0.7225 0.4441  10 Sm 3.30-3.44, 2 Pb 3.43-3.45
Ge 0.7221 0.2218 0.4441  10 Sm 3.30-3.45, 2 Pb 3.44
Pb 0.2223 0.2210 0.4443  8 Sm 3.26-3.39, 4 Ge 3.43-3.45

Calculated values
- DOS(E_F): 7.581 states/eV/cell
- Energy: -4.956 eV/atom

=====

Entry from Alexandria: crystalline TiAsNF2 at its relaxed geometry (PBE-GGA).

a b c (Å): 3.9320 3.9320 4.1800
angles (deg): 90.00 90.00 90.00
Last column: nearest neighbours and their distance in Å.
Sites, in units of the cell vectors:
N 0.0000 0.0000 0.5000  2 Ti 2.09
As 0.5000 0.5000 0.5000  4 N 2.78, 8 F 2.87
F 0.0000 0.5000 0.0000  2 Ti 1.97
F 0.5000 0.0000 0.0000  2 Ti 1.97
Ti 0.0000 0.0000 0.0000  4 F 1.97, 2 N 2.09

Calculated values
- E_form (uncorrected): -1.13 eV per atom
- DOS(E_F): 2.679 states/eV/cell
- Energy: -6.051 eV/atom